Record 1
Material: Al12Zn3Ag
Method: DFT, PBE
State: optimized geometry

Unit cell a=4.986 b=4.986 c=10.935 alpha=90.00 beta=90.00 gamma=90.00
Element x y z (fractional)
Al (0.500, 0.500, 0.000)
Al (0.500, 0.500, 0.249)
Al (0.500, 0.500, 0.500)
Al (0.500, 0.500, 0.751)
Al (0.500, 0.000, 0.127)
Al (0.500, 0.000, 0.374)
Al (0.500, 0.000, 0.626)
Al (0.500, 0.000, 0.873)
Al (0.000, 0.500, 0.127)
Al (0.000, 0.500, 0.374)
Al (0.000, 0.500, 0.626)
Al (0.000, 0.500, 0.873)
Zn (0.000, 0.000, 0.253)
Zn (0.000, 0.000, 0.500)
Zn (0.000, 0.000, 0.747)
Ag (0.000, 0.000, 0.000)

Properties
For the magnetic moment, the calculation gives 0.0 μB per formula unit. The formation energy is 65 meV per atom.


Record 2
Material: Nd3Sm4Y3
Method: DFT, PBE
State: optimized geometry

Unit cell a=3.783 b=9.504 c=9.504 alpha=90.45 beta=90.00 gamma=90.00
Element x y z (fractional)
Nd (0.500, 0.829, 0.171)
Nd (0.500, 0.329, 0.329)
Nd (0.500, 0.671, 0.671)
Sm (0.000, 0.630, 0.370)
Sm (0.000, 0.371, 0.629)
Sm (0.000, 0.872, 0.871)
Sm (0.000, 0.129, 0.128)
Y (0.000, 0.495, 0.998)
Y (0.000, 0.002, 0.505)
Y (0.500, 0.171, 0.829)

Properties
For the magnetic moment, the calculation gives 0.0 μB per formula unit. The formation energy is 93 meV per atom.


Record 3
Material: ScReB2
Method: DFT, PBE
State: optimized geometry

Unit cell a=4.867 b=4.867 c=6.444 alpha=67.81 beta=67.81 gamma=90.00
Element x y z (fractional)
Sc (0.500, 0.500, 0.000)
Sc (0.250, 0.750, 0.500)
Re (0.000, 0.000, 0.000)
Re (0.750, 0.250, 0.500)
B (0.703, 0.125, 0.250)
B (0.047, 0.625, 0.250)
B (0.375, 0.297, 0.750)
B (0.875, 0.953, 0.750)

Properties
For the magnetic moment, the calculation gives 0.0 μB per formula unit. Its distance to the lowest polymorph of the same formula is 873 meV per atom. The formation energy is 391 meV per atom.


Record 4
Material: Pm3PaIr3
Method: DFT, PBE
State: optimized geometry

Unit cell a=7.693 b=7.693 c=7.693 alpha=66.20 beta=66.20 gamma=66.20
Element x y z (fractional)
Pm (0.820, 0.370, 0.122)
Pm (0.122, 0.820, 0.370)
Pm (0.370, 0.122, 0.820)
Pm (0.630, 0.878, 0.180)
Pm (0.878, 0.180, 0.630)
Pm (0.180, 0.630, 0.878)
Pa (0.324, 0.324, 0.324)
Pa (0.676, 0.676, 0.676)
Ir (0.551, 0.316, 0.951)
Ir (0.316, 0.951, 0.551)
Ir (0.951, 0.551, 0.316)
Ir (0.049, 0.449, 0.684)
Ir (0.684, 0.049, 0.449)
Ir (0.449, 0.684, 0.049)

Properties
For the magnetic moment, the calculation gives 0.0 μB per formula unit. Its distance to the lowest polymorph of the same formula is 0 meV per atom. The formation energy is -684 meV per atom.


Record 5
Material: Rb2PmCd3F12
Method: DFT, PBE
State: optimized geometry

Unit cell a=8.324 b=8.324 c=8.324 alpha=57.65 beta=57.65 gamma=57.65
Element x y z (fractional)
Rb (0.596, 0.596, 0.596)
Rb (0.404, 0.404, 0.404)
Pm (0.000, 0.000, 0.000)
Cd (0.500, 0.000, 0.000)
Cd (0.000, 0.500, 0.000)
Cd (0.000, 0.000, 0.500)
F (0.326, 0.326, 0.904)
F (0.925, 0.925, 0.331)
F (0.331, 0.925, 0.925)
F (0.904, 0.326, 0.326)
F (0.925, 0.331, 0.925)
F (0.326, 0.904, 0.326)
F (0.674, 0.674, 0.096)
F (0.075, 0.075, 0.669)
F (0.669, 0.075, 0.075)
F (0.096, 0.674, 0.674)
F (0.075, 0.669, 0.075)
F (0.674, 0.096, 0.674)

Properties
For the magnetic moment, the calculation gives 0.0 μB per formula unit. The uncorrected formation energy is -2584 meV per atom.


Record 6
Material: BaSm2Os
Method: DFT, PBE
State: optimized geometry

Unit cell a=3.545 b=3.545 c=10.398 alpha=90.00 beta=90.00 gamma=90.00
Element x y z (fractional)
Os (0.500, 0.500, 0.000)
Ba (0.500, 0.500, 0.500)
Sm (0.000, 0.000, 0.840)
Sm (0.000, 0.000, 0.160)

Properties
For the magnetic moment, the calculation gives 0.0 μB per formula unit. Its distance to the lowest polymorph of the same formula is 0 meV per atom. The formation energy is 26 meV per atom.


Record 7
Material: SmYCdAu
Method: DFT, PBE
State: optimized geometry

Unit cell a=3.710 b=3.710 c=7.416 alpha=90.00 beta=90.00 gamma=90.00
Element x y z (fractional)
Sm (0.500, 0.500, 0.119)
Y (0.500, 0.500, 0.593)
Cd (0.000, 0.000, 0.849)
Au (0.000, 0.000, 0.367)

Properties
For the magnetic moment, the calculation gives 0.0 μB per formula unit. Its distance to the lowest polymorph of the same formula is 0 meV per atom. The formation energy is -577 meV per atom.


Record 8
Material: LaPmPrPb
Method: DFT, PBE
State: optimized geometry

Unit cell a=5.672 b=5.672 c=5.672 alpha=60.00 beta=60.00 gamma=60.00
Element x y z (fractional)
Pb (0.000, 0.000, 0.000)
Pr (0.500, 0.500, 0.500)
La (0.250, 0.250, 0.250)
Pm (0.750, 0.750, 0.750)

Properties
For the magnetic moment, the calculation gives 0.0 μB per formula unit. Its distance to the lowest polymorph of the same formula is 151 meV per atom. The formation energy is -164 meV per atom.


V: 272 342 129 365 386 131 102 129 (Å³ per cell)